Below is a relaxed structure of LaBeCl, with properties calculated at the PBE-GGA level.

The calculation puts the offset from the most stable computed form at 29.5 kJ/mol of formula units. The total moment comes out at 0.0 Bohr magnetons per cell. The theoretical density comes out at 4.76 g/cm3.

The space group is P-6m2 (No. 187) and the conventional cell measures 4.6354, 4.6354 and 3.4395 Å, with angles of 90.00, 90.00 and 120.00 degrees. The asymmetric unit holds La at (0.0000, 0.0000, 0.0000), Be at (0.6667, 0.3333, 0.5000) and Cl at (0.3333, 0.6667, 0.5000).